[1]
# Sn3SbC

A relaxed Sn3SbC crystal (GGA-PBE, Alexandria).

Cell lengths 5.805, 5.805, 5.805 Å; angles 90.00, 90.00, 90.00 degrees
Fractional positions:
Sn (0.000, 0.000, 0.500)
Sn (0.000, 0.500, 0.000)
Sn (0.500, 0.000, 0.000)
Sb (0.000, 0.000, 0.000)
C (0.500, 0.500, 0.500)

Raw formation energy (eV/atom): 1.972
Excess energy over the best structure of this formula in the dataset (meV/atom): 1232
Crystal system: cubic

[2]
# In2GaIBr

A relaxed In2GaIBr crystal (GGA-PBE, Alexandria).

Cell lengths 6.484, 6.484, 6.004 Å; angles 90.00, 90.00, 90.00 degrees
Fractional positions:
In (0.000, 0.500, 0.000)
In (0.500, 0.000, 0.000)
Ga (0.000, 0.000, 0.500)
I (0.000, 0.000, 0.000)
Br (0.500, 0.500, 0.500)

Raw formation energy (eV/atom): 0.164
Crystal system: tetragonal

[3]
# Li4InSn2

A relaxed Li4InSn2 crystal (GGA-PBE, Alexandria).

Cell lengths 4.596, 4.596, 8.463 Å; angles 90.00, 90.00, 120.00 degrees
Fractional positions:
Li (0.333, 0.667, 0.243)
Li (0.333, 0.667, 0.909)
Li (0.667, 0.333, 0.091)
Li (0.667, 0.333, 0.757)
In (0.000, 0.000, 0.000)
Sn (0.333, 0.667, 0.583)
Sn (0.667, 0.333, 0.417)

Excess energy over the best structure of this formula in the dataset (meV/atom): 1
E_form (meV per atom): -203
Crystal system: trigonal

[4]
# RbCe2Pd2S6

A relaxed RbCe2Pd2S6 crystal (GGA-PBE, Alexandria).

Cell lengths 5.167, 7.283, 7.857 Å; angles 109.53, 105.79, 99.82 degrees
Fractional positions:
Rb (0.000, 0.000, 0.000)
Ce (0.403, 0.296, 0.700)
Ce (0.597, 0.704, 0.300)
Pd (0.251, 0.701, 0.624)
Pd (0.749, 0.299, 0.376)
S (0.173, 0.860, 0.396)
S (0.231, 0.370, 0.381)
S (0.395, 0.677, 0.930)
S (0.605, 0.323, 0.070)
S (0.769, 0.630, 0.619)
S (0.827, 0.140, 0.604)

Raw formation energy (eV/atom): -1.144
Crystal system: triclinic